[1]
Sm6Ho12Er: relaxed, GGA-PBE.

Geometry as POSCAR:
```
Sm6Ho12Er
1.0
-4.113 2.587 7.128
-8.181 -0.352 -2.716
-2.391 -7.620 3.263
Ho Sm Er
12 6 1
Direct
0.136 0.136 0.487
0.864 0.864 0.513
0.514 0.514 0.196
0.804 0.486 0.486
0.864 0.513 0.864
0.196 0.514 0.514
0.487 0.136 0.136
0.486 0.486 0.804
0.513 0.864 0.864
0.136 0.487 0.136
0.486 0.804 0.486
0.514 0.196 0.514
0.838 0.232 0.232
0.768 0.162 0.768
0.232 0.838 0.232
0.768 0.768 0.162
0.162 0.768 0.768
0.232 0.232 0.838
0.000 0.000 0.000
```

Values from the calculation:
Relative energy among the computed polymorphs = 0 meV/atom
D(E_F) = 29.0 states/eV/f.u.
Energy of formation = 0.124 eV/atom
Size of the total moment = 0.0 Bohr magnetons per cell

---

[2]
Sm2HoEr: relaxed, GGA-PBE.

Geometry as POSCAR:
```
Sm2HoEr
1.0
-0.555 -0.093 4.991
-1.104 -4.937 -0.215
4.909 -1.120 0.525
Sm Ho Er
2 1 1
Direct
0.000 0.500 0.000
0.000 0.000 0.500
0.500 0.500 0.500
0.500 0.000 0.000
```

Values from the calculation:
Relative energy among the computed polymorphs = 11 meV/atom
D(E_F) = 6.2 states/eV/f.u.
Energy of formation = 0.022 eV/atom
Size of the total moment = 0.0 Bohr magnetons per cell

---

[3]
Sm2HoEr: relaxed, GGA-PBE.

Geometry as POSCAR:
```
Sm2HoEr
1.0
3.592 0.000 0.000
1.796 3.110 0.000
1.796 1.037 11.552
Sm Er Ho
2 1 1
Direct
0.250 0.250 0.251
0.083 0.083 0.750
0.667 0.667 0.999
0.500 0.500 0.500
```

Values from the calculation:
Relative energy among the computed polymorphs = 4 meV/atom
D(E_F) = 5.7 states/eV/f.u.
Energy of formation = 0.015 eV/atom
Size of the total moment = 0.0 Bohr magnetons per cell

---

[4]
Sm5Ho5Er2: relaxed, GGA-PBE.

Geometry as POSCAR:
```
Sm5Ho5Er2
1.0
4.888 0.000 1.203
2.124 7.432 1.902
-0.033 0.680 10.683
Ho Sm Er
5 5 2
Direct
0.167 0.166 0.499
0.251 0.750 0.748
0.833 0.834 0.501
0.000 0.000 0.000
0.749 0.250 0.252
0.334 0.333 0.999
0.666 0.667 0.001
0.584 0.083 0.750
0.500 0.500 0.500
0.416 0.917 0.250
0.917 0.418 0.749
0.083 0.582 0.251
```

Values from the calculation:
D(E_F) = 17.2 states/eV/f.u.
Energy of formation = 0.019 eV/atom
Size of the total moment = 0.0 Bohr magnetons per cell

---

[5]
Sm3Ho5Er2: relaxed, GGA-PBE.

Geometry as POSCAR:
```
Sm3Ho5Er2
1.0
6.276 0.000 0.000
3.138 10.203 -2.794
3.138 0.013 10.578
Sm Ho Er
6 10 4
Direct
0.342 0.406 0.910
0.158 0.090 0.594
0.250 0.000 0.000
0.750 0.000 0.000
0.842 0.910 0.406
0.658 0.594 0.090
0.401 0.755 0.443
0.002 0.748 0.748
0.998 0.252 0.252
0.498 0.252 0.252
0.750 0.500 0.500
0.099 0.557 0.245
0.901 0.443 0.755
0.250 0.500 0.500
0.599 0.245 0.557
0.502 0.748 0.748
0.101 0.743 0.055
0.601 0.055 0.743
0.899 0.257 0.945
0.399 0.945 0.257
```

Values from the calculation:
Relative energy among the computed polymorphs = 150 meV/atom
D(E_F) = 17.5 states/eV/f.u.
Energy of formation = 0.348 eV/atom
Size of the total moment = 0.0 Bohr magnetons per cell

---

[6]
Sm9Ho2Er: relaxed, GGA-PBE.

Geometry as POSCAR:
```
Sm9Ho2Er
1.0
5.089 0.000 0.000
0.000 5.089 0.000
0.000 0.000 15.269
Sm Er Ho
9 1 2
Direct
0.500 0.000 0.833
0.500 0.500 0.000
0.000 0.500 0.167
0.500 0.000 0.167
0.500 0.000 0.500
0.000 0.500 0.833
0.000 0.500 0.500
0.500 0.500 0.333
0.500 0.500 0.667
0.000 0.000 0.000
0.000 0.000 0.333
0.000 0.000 0.667
```

Values from the calculation:
D(E_F) = 18.7 states/eV/f.u.
Energy of formation = 0.018 eV/atom
Size of the total moment = 0.0 Bohr magnetons per cell

---

[7]
Sm4HoEr6: relaxed, GGA-PBE.

Geometry as POSCAR:
```
Sm4HoEr6
1.0
-1.575 7.115 2.251
-6.996 -2.209 2.085
6.507 -3.850 3.804
Er Sm Ho
6 4 1
Direct
0.925 0.441 0.366
0.500 0.000 0.000
0.075 0.075 0.634
0.000 0.500 0.000
0.441 0.925 0.366
0.559 0.559 0.634
0.250 0.250 0.153
0.902 0.902 0.153
0.750 0.098 0.847
0.098 0.750 0.847
0.500 0.500 0.000
```

Values from the calculation:
Relative energy among the computed polymorphs = 158 meV/atom
D(E_F) = 13.3 states/eV/f.u.
Energy of formation = 0.460 eV/atom
Size of the total moment = 0.0 Bohr magnetons per cell

---

[8]
SmHoEr3: relaxed, GGA-PBE.

Geometry as POSCAR:
```
SmHoEr3
1.0
-3.518 0.083 -0.397
5.153 -9.264 -0.278
-1.045 1.802 9.741
Er Sm Ho
6 2 2
Direct
0.399 0.099 0.650
0.601 0.901 0.350
0.196 0.297 0.949
0.804 0.703 0.550
0.196 0.297 0.450
0.804 0.703 0.051
0.000 0.500 0.750
0.000 0.500 0.250
0.399 0.099 0.150
0.601 0.901 0.850
```

Values from the calculation:
Relative energy among the computed polymorphs = 15 meV/atom
D(E_F) = 6.6 states/eV/f.u.
Energy of formation = 0.021 eV/atom
Size of the total moment = 0.0 Bohr magnetons per cell

---

> Which of these has the lowest energy of formation?

number 3

---

> Which formula does entry 4 have?

Sm5Ho5Er2

---

> What is the formula in the third record?

Sm2HoEr